# LiPd8Pb2 | Alexandria | PBE | optimized geometry
# formation energy = -22 kJ/mol of atoms
data_LiPd8Pb2
_cell_length_a 4.0166
_cell_length_b 7.8825
_cell_length_c 12.0597
_cell_angle_alpha 90.00
_cell_angle_beta 90.00
_cell_angle_gamma 90.00
_space_group_name_H-M_alt 'I m m m'
_space_group_IT_number 71
_space_group_name_Hall '-I 2 2'
loop_
_atom_site_label
_atom_site_fract_x
_atom_site_fract_y
_atom_site_fract_z
Li1 0.0000 0.0000 0.0000
Pd1 0.0000 0.2476 0.1633
Pd2 0.0000 0.2628 0.5000
Pd3 0.0000 0.5000 0.3338
Pb1 0.0000 0.0000 0.3448


# LiPd3Pb2 | Alexandria | PBE | optimized geometry
# formation energy = -28 kJ/mol of atoms
# distance to the lowest polymorph of the same formula = 0 meV/atom
data_LiPd3Pb2
_cell_length_a 10.7872
_cell_length_b 5.6425
_cell_length_c 8.1420
_cell_angle_alpha 90.00
_cell_angle_beta 111.99
_cell_angle_gamma 90.00
_space_group_name_H-M_alt 'C 1 2/c 1'
_space_group_IT_number 15
loop_
_space_group_symop_operation_xyz
'x,y,z'
'-x,-y,-z'
'-x,y,-z+1/2'
'x,-y,z+1/2'
'x+1/2,y+1/2,z'
'-x+1/2,-y+1/2,-z'
'-x+1/2,y+1/2,-z+1/2'
'x+1/2,-y+1/2,z+1/2'
loop_
_atom_site_label
_atom_site_fract_x
_atom_site_fract_y
_atom_site_fract_z
Li1 0.0000 0.2090 0.2500
Pd1 0.0000 0.2751 0.7500
Pd2 0.1370 0.0118 0.5674
Pb1 0.1692 0.4889 0.0863


# Li6Pd2Pb | Alexandria | PBE | optimized geometry
# formation energy = -27 kJ/mol of atoms
# distance to the lowest polymorph of the same formula = 75 meV/atom
data_Li6Pd2Pb
_cell_length_a 13.6654
_cell_length_b 7.3971
_cell_length_c 2.9525
_cell_angle_alpha 90.00
_cell_angle_beta 101.63
_cell_angle_gamma 90.00
_space_group_name_H-M_alt 'C 1 2/m 1'
_space_group_IT_number 12
loop_
_space_group_symop_operation_xyz
'x,y,z'
'-x,-y,-z'
'-x,y,-z'
'x,-y,z'
'x+1/2,y+1/2,z'
'-x+1/2,-y+1/2,-z'
'-x+1/2,y+1/2,-z'
'x+1/2,-y+1/2,z'
loop_
_atom_site_label
_atom_site_fract_x
_atom_site_fract_y
_atom_site_fract_z
Li1 0.0000 0.1585 0.0000
Li2 0.1740 0.3159 0.1688
Pd1 0.1519 0.0000 0.6415
Pb1 0.0000 0.5000 0.5000


| no. | mass density (Mg/m³) | volume (Å³ per cell) |
| --- | --- | --- |
| 1 | 11.070 | 381.82 |
| 2 | 10.705 | 459.51 |
| 3 | 5.245 | 292.32 |